This record from Alexandria describes a geometry-optimized BaErPtO4 structure. The functional is GGA-PBE.

Cell: 7.0445 7.0445 7.0445 Å, 123.29 121.07 86.27°
With the nearest neighbours (Å) after each atom.
Element x y z (fractional)
Ba1 0.3933 0.1433 0.2500  4 O 2.42-2.59
Ba2 0.6067 0.8567 0.7500  4 O 2.42-2.59
Er1 0.0000 0.5000 0.5000  6 O 2.23-2.35
Er2 0.5000 0.5000 0.0000  6 O 2.23-2.35
Pt1 0.0000 0.0000 0.5000  4 O 2.11
Pt2 0.0000 0.5000 0.0000  4 O 2.11
O1 0.1565 0.7241 0.4324  2 Pt 2.11, 1 Er 2.35
O2 0.2083 0.2759 0.9324  2 Pt 2.11, 1 Er 2.35
O3 0.2528 0.2932 0.5404  2 Er 2.23, 1 Ba 2.42
O4 0.2528 0.7124 0.9596  2 Er 2.23, 1 Ba 2.42
O5 0.7472 0.2876 0.0404  2 Er 2.23, 1 Ba 2.42
O6 0.7472 0.7068 0.4596  2 Er 2.23, 1 Ba 2.42
O7 0.7917 0.7241 0.0676  2 Pt 2.11, 1 Er 2.35
O8 0.8435 0.2759 0.5676  2 Pt 2.11, 1 Er 2.35

Results
Magnetization, μB per cell: 1.996
Energy relative to the elements, uncorrected, kcal/mol of atoms: -46.73